# ZrCo2BRh PBE-GGA optimized geometry
# DFT formation energy: 168.6 kJ/mol of atoms
# Excess energy over the best structure of this formula in the dataset: 2.234 eV per atom
# SG: P4/mmm
data_ZrCo2BRh
_chemical_formula_sum 'Zr1 Co2 B1 Rh1'
_cell_length_a 4.4769
_cell_length_b 4.2836
_cell_length_c 4.4769
_cell_angle_alpha 90.00
_cell_angle_beta 90.00
_cell_angle_gamma 90.00
_space_group_name_H-M_alt 'P 1'
_space_group_IT_number 1
loop_
_space_group_symop_operation_xyz
'x,y,z'
loop_
_atom_site_label
_atom_site_type_symbol
_atom_site_fract_x
_atom_site_fract_y
_atom_site_fract_z
_atom_site_occupancy
Rh1 Rh 0.5000 0.5000 0.5000 1
Co1 Co 0.5000 0.0000 0.0000 1
Co2 Co 0.0000 0.0000 0.5000 1
B1 B 0.0000 0.5000 0.0000 1
Zr1 Zr 0.0000 0.0000 0.0000 1